# 1
Density functional theory data (PBE) for an optimized crystal structure of Gd2SeN.

a b c (Å): 3.7290 3.7290 6.9220
angles (deg): 74.37 74.37 60.00
With the nearest neighbours (Å) after each atom.
Element x y z (fractional)
1 N 0.0000 0.0000 0.0000  6 Gd 2.53
2 Gd 0.7335 0.7335 0.7994  3 N 2.53
3 Gd 0.2665 0.2665 0.2006  3 N 2.53
4 Se 0.5000 0.5000 0.5000  6 Gd 2.92

Properties
The value obtained for the formation energy without anion corrections is -1680 meV/atom.

***

# 2
Density functional theory data (PBE) for an optimized crystal structure of SiRh2Cl.

a b c (Å): 4.3334 4.3334 4.3334
angles (deg): 60.00 60.00 60.00
With the nearest neighbours (Å) after each atom.
Element x y z (fractional)
1 Rh 0.2500 0.2500 0.2500  4 Cl 2.65, 4 Si 2.65
2 Cl 0.5000 0.5000 0.5000  8 Rh 2.65
3 Rh 0.7500 0.7500 0.7500  4 Cl 2.65, 4 Si 2.65
4 Si 0.0000 0.0000 0.0000  8 Rh 2.65

Properties
The value obtained for the formation energy without anion corrections is 123 meV/atom.

***

# 3
Density functional theory data (PBE) for an optimized crystal structure of SbAsF8.

a b c (Å): 8.3150 5.7413 7.0047
angles (deg): 84.25 90.00 90.00
With the nearest neighbours (Å) after each atom.
Element x y z (fractional)
1 As 0.2500 0.5030 0.2875  2 F 1.75
2 As 0.7500 0.4970 0.7125  2 F 1.75
3 F 0.7500 0.9797 0.4487  1 Sb 1.89
4 Sb 0.2500 0.7962 0.7688  6 F 1.89-2.02
5 F 0.5935 0.2936 0.7227  1 As 1.75
6 F 0.0935 0.7064 0.2773  1 As 1.75
7 F 0.2500 0.5363 0.6026  1 Sb 1.98
8 F 0.9785 0.2306 0.2277  1 Sb 1.91
9 F 0.4785 0.7694 0.7723  1 Sb 1.91
10 F 0.2500 0.0203 0.5513  1 Sb 1.89
11 F 0.7500 0.9812 0.0506  1 Sb 1.89
12 F 0.5215 0.2306 0.2277  1 Sb 1.91
13 F 0.9065 0.2936 0.7227  1 As 1.75
14 F 0.4065 0.7064 0.2773  1 As 1.75
15 Sb 0.7500 0.2038 0.2312  6 F 1.89-2.02
16 F 0.7500 0.4637 0.3974  1 Sb 1.98
17 F 0.2500 0.0188 0.9494  1 Sb 1.89
18 F 0.2500 0.5363 0.9851  1 Sb 2.02, 1 As 2.11
19 F 0.7500 0.4637 0.0149  1 Sb 2.02, 1 As 2.11
20 F 0.0215 0.7694 0.7723  1 Sb 1.91

Properties
The value obtained for the formation energy without anion corrections is -2219 meV/atom.